# 1
Density functional theory data (PBE) for crystalline Nd2ScCd4 at its relaxed geometry.

a = 5.215 Å, b = 5.215 Å, c = 9.059 Å
α = 73.27°, β = 73.27°, γ = 60.00°
Fractional positions:
Cd 0.124 0.124 0.627
Nd 0.250 0.250 0.250
Nd 0.750 0.750 0.750
Cd 0.375 0.375 0.875
Cd 0.625 0.625 0.125
Sc 0.000 0.000 0.000
Cd 0.876 0.876 0.373

Output
VASP energy (eV/atom): -2.9124
ΔE_f (meV per atom): -123
D(E_F) (states/eV/atom): 0.972
Magnetization (μB per formula unit): 0.00



# 2
Density functional theory data (PBE) for crystalline Nd2Sc8Cd at its relaxed geometry.

a = 6.266 Å, b = 9.392 Å, c = 9.392 Å
α = 38.45°, β = 59.54°, γ = 59.54°
Fractional positions:
Sc 0.266 0.410 0.410
Sc 0.777 0.181 0.659
Cd 0.000 0.000 0.000
Sc 0.826 0.246 0.246
Sc 0.777 0.659 0.181
Sc 0.223 0.819 0.341
Nd 0.420 0.188 0.188
Sc 0.734 0.590 0.590
Sc 0.223 0.341 0.819
Nd 0.580 0.812 0.812
Sc 0.174 0.754 0.754

Output
VASP energy (eV/atom): -5.4636
ΔE_f (meV per atom): 91
D(E_F) (states/eV/atom): 1.778
Magnetization (μB per formula unit): 0.00



# 3
Density functional theory data (PBE) for crystalline Nd2ScCd6 at its relaxed geometry.

a = 3.367 Å, b = 8.719 Å, c = 8.719 Å
α = 60.00°, β = 89.97°, γ = 89.97°
Each line ends with the local moment (μB).
Fractional positions:
Cd 0.500 0.326 0.674  0.00
Cd 0.499 0.000 0.674  0.00
Cd 0.501 0.326 0.000  0.00
Nd 0.000 0.667 0.667  0.09
Cd 0.500 0.674 0.326  0.00
Cd 0.499 0.674 0.000  0.00
Sc 0.000 0.000 0.000  0.03
Nd 0.000 0.333 0.333  0.09
Cd 0.501 0.000 0.326  0.00

Output
VASP energy (eV/atom): -2.6646
ΔE_f (meV per atom): -291
D(E_F) (states/eV/atom): 0.815
Magnetization (μB per formula unit): 0.41



# 4
Density functional theory data (PBE) for crystalline NdSc2Cd2 at its relaxed geometry.

a = 4.785 Å, b = 4.785 Å, c = 12.295 Å
α = 101.22°, β = 101.22°, γ = 90.00°
Fractional positions:
Cd 0.815 0.815 0.631
Cd 0.500 0.000 0.000
Nd 0.373 0.373 0.747
Sc 0.250 0.750 0.500
Sc 0.071 0.071 0.143
Cd 0.185 0.185 0.369
Sc 0.750 0.250 0.500
Nd 0.627 0.627 0.253
Cd 0.000 0.500 0.000
Sc 0.929 0.929 0.857

Output
VASP energy (eV/atom): -3.9135
ΔE_f (meV per atom): -61
D(E_F) (states/eV/atom): 0.729
ΔE to the lowest computed polymorph (eV/atom): 0.026
Magnetization (μB per formula unit): 0.00



Please write out number 1 again, unchanged.
Density functional theory data (PBE) for crystalline Nd2ScCd4 at its relaxed geometry.

a = 5.215 Å, b = 5.215 Å, c = 9.059 Å
α = 73.27°, β = 73.27°, γ = 60.00°
Fractional positions:
Cd 0.124 0.124 0.627
Nd 0.250 0.250 0.250
Nd 0.750 0.750 0.750
Cd 0.375 0.375 0.875
Cd 0.625 0.625 0.125
Sc 0.000 0.000 0.000
Cd 0.876 0.876 0.373

Output
VASP energy (eV/atom): -2.9124
ΔE_f (meV per atom): -123
D(E_F) (states/eV/atom): 0.972
Magnetization (μB per formula unit): 0.00



What is the formula in the second record?
Nd2Sc8Cd